1.
## Ca11Cd9Pd4 (PBE-GGA)

Data for a geometry-optimized Ca11Cd9Pd4 structure.

a = 13.2308 Å, b = 13.2308 Å, c = 3.8865 Å
α = 90.00°, β = 90.00°, γ = 112.54°
Fractional positions:
Ca (0.0000, 0.0000, 0.0000)
Ca (0.0750, 0.4135, 0.0000)
Ca (0.1650, 0.8350, 0.0000)
Ca (0.3022, 0.3022, 0.0000)
Ca (0.3703, 0.6297, 0.0000)
Ca (0.4135, 0.0750, 0.0000)
Ca (0.5865, 0.9250, 0.0000)
Ca (0.6297, 0.3703, 0.0000)
Ca (0.6978, 0.6978, 0.0000)
Ca (0.8350, 0.1650, 0.0000)
Ca (0.9250, 0.5865, 0.0000)
Cd (0.0722, 0.2171, 0.5000)
Cd (0.1585, 0.6274, 0.5000)
Cd (0.2171, 0.0722, 0.5000)
Cd (0.3726, 0.8415, 0.5000)
Cd (0.5000, 0.5000, 0.5000)
Cd (0.6274, 0.1585, 0.5000)
Cd (0.7829, 0.9278, 0.5000)
Cd (0.8415, 0.3726, 0.5000)
Cd (0.9278, 0.7829, 0.5000)
Pd (0.2529, 0.4497, 0.5000)
Pd (0.4497, 0.2529, 0.5000)
Pd (0.5503, 0.7471, 0.5000)
Pd (0.7471, 0.5503, 0.5000)

The crystal system is orthorhombic. For the final energy, the calculation gives -2.591 eV/atom.

=====

2.
## Ca6CdPd3 (PBE-GGA)

Data for a geometry-optimized Ca6CdPd3 structure.

a = 10.8646 Å, b = 4.4025 Å, c = 12.9096 Å
α = 90.00°, β = 110.65°, γ = 90.00°
Fractional positions:
Ca (0.0212, 0.2500, 0.3904)
Ca (0.0751, 0.2500, 0.9121)
Ca (0.2328, 0.7500, 0.3215)
Ca (0.3388, 0.7500, 0.0918)
Ca (0.3393, 0.7500, 0.8058)
Ca (0.3811, 0.2500, 0.5659)
Ca (0.6189, 0.7500, 0.4341)
Ca (0.6607, 0.2500, 0.1942)
Ca (0.6612, 0.2500, 0.9082)
Ca (0.7672, 0.2500, 0.6785)
Ca (0.9249, 0.7500, 0.0879)
Ca (0.9788, 0.7500, 0.6096)
Cd (0.4179, 0.2500, 0.2887)
Cd (0.5821, 0.7500, 0.7113)
Pd (0.1336, 0.2500, 0.1636)
Pd (0.1961, 0.7500, 0.5340)
Pd (0.4071, 0.2500, 0.9701)
Pd (0.5929, 0.7500, 0.0299)
Pd (0.8039, 0.2500, 0.4660)
Pd (0.8664, 0.7500, 0.8364)

The crystal system is monoclinic. For the final energy, the calculation gives -3.320 eV/atom.

=====

3.
## Ca4CdPd5 (PBE-GGA)

Data for a geometry-optimized Ca4CdPd5 structure.

a = 3.5060 Å, b = 3.5060 Å, c = 17.1383 Å
α = 90.00°, β = 90.00°, γ = 90.00°
Fractional positions:
Ca (0.0000, 0.0000, 0.1032)
Ca (0.0000, 0.0000, 0.3088)
Ca (0.0000, 0.0000, 0.6912)
Ca (0.0000, 0.0000, 0.8968)
Cd (0.0000, 0.0000, 0.5000)
Pd (0.5000, 0.5000, 0.0000)
Pd (0.5000, 0.5000, 0.2069)
Pd (0.5000, 0.5000, 0.4146)
Pd (0.5000, 0.5000, 0.5854)
Pd (0.5000, 0.5000, 0.7931)

The crystal system is tetragonal. For the final energy, the calculation gives -4.093 eV/atom.